No. 1
Compound: HfCrGa2
Source: Alexandria
Functional: PBE
Structure: relaxed

The structure in POSCAR format:
```
HfCrGa2
1.0
-1.582 0.854 -2.398
-2.516 -0.090 1.627
0.953 6.995 1.862
Ga Hf Cr
2 1 1
direct
0.000 0.000 0.776 Ga
0.000 0.000 0.224 Ga
0.500 0.500 0.500 Hf
0.500 0.500 0.000 Cr
```

Values from the calculation:
Relative energy among the computed polymorphs = 183.8 meV per atom
Density of states at the Fermi level = 0.64 states/eV per atom
Energy relative to the elements = -0.14 eV per atom



No. 2
Compound: Pr2NpTc2N6
Source: Alexandria
Functional: PBE
Structure: relaxed

The structure in POSCAR format:
```
Pr2NpTc2N6
1.0
5.769 0.000 0.000
2.885 4.996 0.000
2.885 1.665 5.822
N Tc Pr Np
6 2 2 1
direct
0.750 0.223 0.278 N
0.223 0.750 0.278 N
0.777 0.250 0.722 N
0.250 0.777 0.722 N
0.750 0.750 0.278 N
0.250 0.250 0.722 N
0.396 0.396 0.812 Tc
0.604 0.604 0.188 Tc
0.790 0.790 0.630 Pr
0.210 0.210 0.370 Pr
0.000 0.000 0.000 Np
```

Values from the calculation:
Density of states at the Fermi level = 0.81 states/eV per atom
ΔE_f (raw) = -598 meV per atom



No. 3
Compound: Rb2ZnSn4Au3
Source: Alexandria
Functional: PBE
Structure: relaxed

The structure in POSCAR format:
```
Rb2ZnSn4Au3
1.0
-3.090 3.658 1.148
-1.014 -2.202 4.286
8.536 5.664 4.929
Sn Zn Au Rb
4 1 3 2
direct
0.500 0.500 0.000 Sn
0.000 0.000 0.000 Sn
0.000 0.500 0.377 Sn
0.500 0.000 0.623 Sn
0.500 0.500 0.500 Zn
0.000 0.000 0.500 Au
0.500 0.000 0.871 Au
0.000 0.500 0.129 Au
0.000 0.500 0.744 Rb
0.500 0.000 0.256 Rb
```

Values from the calculation:
Density of states at the Fermi level = 0.56 states/eV per atom
Energy relative to the elements = -0.23 eV per atom



No. 4
Compound: La2CeSn
Source: Alexandria
Functional: PBE
Structure: relaxed

The structure in POSCAR format:
```
La2CeSn
1.0
-1.289 -2.336 -4.919
-2.449 -5.029 -0.153
-5.353 -0.458 -1.563
Sn Ce La
1 1 2
direct
0.500 0.500 0.500 Sn
0.000 0.000 0.000 Ce
0.750 0.750 0.750 La
0.250 0.250 0.250 La
```

Values from the calculation:
Relative energy among the computed polymorphs = 199.3 meV per atom
Density of states at the Fermi level = 2.37 states/eV per atom
Energy relative to the elements = -0.23 eV per atom



No. 5
Compound: K2CrAs
Source: Alexandria
Functional: PBE
Structure: relaxed

The structure in POSCAR format:
```
K2CrAs
1.0
-1.416 4.135 2.176
-4.012 -2.544 -1.124
0.199 -2.313 4.525
K As Cr
2 1 1
direct
0.000 0.000 0.000 K
0.500 0.500 0.000 K
0.500 0.000 0.500 As
0.000 0.500 0.500 Cr
```

Values from the calculation:
Density of states at the Fermi level = 0.44 states/eV per atom
Energy relative to the elements = 0.42 eV per atom



No. 6
Compound: Mn2AlHgPb
Source: Alexandria
Functional: PBE
Structure: relaxed

The structure in POSCAR format:
```
Mn2AlHgPb
1.0
-4.315 -2.072 0.672
2.215 -4.482 0.402
0.434 0.642 4.771
Mn Hg Pb Al
2 1 1 1
direct
0.000 0.000 0.500 Mn
0.500 0.000 0.000 Mn
0.000 0.500 0.000 Hg
0.500 0.500 0.500 Pb
0.000 0.000 0.000 Al
```

Values from the calculation:
Density of states at the Fermi level = 0.46 states/eV per atom
Energy relative to the elements = 0.66 eV per atom



Question: Number 4 is which compound?
Answer: La2CeSn